The following is a DFT calculation (GGA-PBE) of an optimized crystal structure of NpTiAs2O.

Computed properties:
DFT total energy (eV per atom): -8.391
Magnetic moment (μB per formula unit): 2.91
Formation energy (no corrections) (kJ/mol of formula units): -662

Lattice parameters (Å, degrees): 3.7077 3.7077 13.0259 90.00 90.00 90.00
Space group P4/nmm (No. 129, origin choice 2)
One atom of each set of equivalent atoms:
Np1 0.2500 0.2500 0.1020
Ti1 0.2500 0.2500 0.5879
As1 0.2500 0.2500 0.3863
As2 0.2500 0.2500 0.7850
O1 0.2500 0.7500 0.0000

The following is a DFT calculation (GGA-PBE) of an optimized crystal structure of NpTlAs2O8.

Computed properties:
DFT total energy (eV per atom): -7.008
Magnetic moment (μB per formula unit): 2.00
Formation energy (no corrections) (kJ/mol of formula units): -1912

Lattice parameters (Å, degrees): 9.1592 5.8072 8.6630 90.00 91.88 90.00
Space group C2/m (No. 12)
One atom of each set of equivalent atoms:
Np1 0.0000 0.0000 0.0000
Tl1 0.0000 0.0000 0.5000
As1 0.1426 0.5000 0.7840
O1 0.0358 0.2603 0.8255
O2 0.2026 0.5000 0.6053
O3 0.2205 0.0000 0.0676

The following is a DFT calculation (GGA-PBE) of an optimized crystal structure of NpUAs2O.

Computed properties:
DFT total energy (eV per atom): -8.967
Magnetic moment (μB per formula unit): 4.86
Formation energy (no corrections) (kJ/mol of formula units): -612

Lattice parameters (Å, degrees): 3.9699 3.9699 13.5452 90.00 90.00 90.00
Space group P4/nmm (No. 129, origin choice 2)
One atom of each set of equivalent atoms:
Np1 0.2500 0.2500 0.0891
U1 0.2500 0.2500 0.6135
As1 0.2500 0.2500 0.3958
As2 0.2500 0.2500 0.8140
O1 0.2500 0.7500 0.0000

The following is a DFT calculation (GGA-PBE) of an optimized crystal structure of ZrNpAs2O.

Computed properties:
DFT total energy (eV per atom): -8.624
Magnetic moment (μB per formula unit): 2.85
Formation energy (no corrections) (kJ/mol of formula units): -711

Lattice parameters (Å, degrees): 3.8142 3.8142 13.3712 90.00 90.00 90.00
Space group P4/nmm (No. 129, origin choice 2)
One atom of each set of equivalent atoms:
Zr1 0.2500 0.2500 0.0936
Np1 0.2500 0.2500 0.5959
As1 0.2500 0.2500 0.2983
As2 0.2500 0.2500 0.8822
O1 0.2500 0.7500 0.5000

| no. | density of states at the Fermi level (states/eV/atom) |
| --- | --- |
| 1 | 1.7089 |
| 2 | 0.3911 |
| 3 | 2.6021 |
| 4 | 1.9115 |